(1)
Compound: TaHgOsO6
Source: Alexandria via LeMat-Bulk
Functional: PBE
Structure: optimized geometry

a = 7.2681 Å, b = 7.4541 Å, c = 10.4582 Å
α = 90.00°, β = 90.00°, γ = 90.00°
Space group Imma (No. 74)
Symmetry-distinct sites (fractional):
1 Ta 0.0000 0.0000 0.0000 [4 per cell]
2 Hg 0.0000 0.2500 0.4091 [4 per cell]
3 Os 0.2500 0.2500 0.7500 [4 per cell]
4 O 0.0000 0.2500 0.0580 [4 per cell]
5 O 0.0000 0.2500 0.6902 [4 per cell]
6 O 0.1909 0.0727 0.8722 [16 per cell]

(2)
Compound: Tb2HgOsO8
Source: Alexandria via LeMat-Bulk
Functional: PBE
Structure: optimized geometry

a = 6.7351 Å, b = 7.0850 Å, c = 7.3135 Å
α = 90.00°, β = 90.08°, γ = 90.00°
Space group C2/m (No. 12)
Symmetry-distinct sites (fractional):
1 Tb 0.0009 0.0000 0.2461 [4 per cell]
2 Hg 0.0000 0.5000 0.0000 [2 per cell]
3 Os 0.0000 0.5000 0.5000 [2 per cell]
4 O 0.0010 0.3151 0.6821 [8 per cell]
5 O 0.1967 0.0000 0.9995 [4 per cell]
6 O 0.2192 0.0000 0.5009 [4 per cell]

(3)
Compound: Tl2HgOsO4
Source: Alexandria via LeMat-Bulk
Functional: PBE
Structure: optimized geometry

a = 7.7551 Å, b = 11.0002 Å, c = 20.1479 Å
α = 90.00°, β = 90.00°, γ = 90.00°
Space group Fddd (No. 70, origin choice 2)
Symmetry-distinct sites (fractional):
1 Tl 0.1250 0.1250 0.3119 [16 per cell]
2 Hg 0.1250 0.1250 0.1250 [8 per cell]
3 Os 0.1250 0.1250 0.6250 [8 per cell]
4 O 0.0273 0.2675 0.8422 [32 per cell]

(4)
Compound: TlHgOs2O8
Source: Alexandria via LeMat-Bulk
Functional: PBE
Structure: optimized geometry

a = 12.5282 Å, b = 6.5908 Å, c = 6.7992 Å
α = 90.00°, β = 109.35°, γ = 90.00°
Space group C2/m (No. 12)
Symmetry-distinct sites (fractional):
1 Tl 0.0000 0.0000 0.0000 [2 per cell]
2 Hg 0.0000 0.5000 0.5000 [2 per cell]
3 Os 0.2053 0.0000 0.7098 [4 per cell]
4 O 0.1476 0.5000 0.1987 [4 per cell]
5 O 0.1500 0.2106 0.8006 [8 per cell]
6 O 0.1533 0.0000 0.4360 [4 per cell]

(5)
Compound: Tl3HgOs2O8
Source: Alexandria via LeMat-Bulk
Functional: PBE
Structure: optimized geometry

a = 6.2923 Å, b = 6.2923 Å, c = 9.8954 Å
α = 90.00°, β = 90.00°, γ = 120.00°
Space group P-3m1 (No. 164)
Symmetry-distinct sites (fractional):
1 Tl 0.0000 0.0000 0.0000 [1 per cell]
2 Tl 0.3333 0.6667 0.7160 [2 per cell]
3 Hg 0.0000 0.0000 0.5000 [1 per cell]
4 Os 0.3333 0.6667 0.1515 [2 per cell]
5 O 0.1790 0.3581 0.2128 [6 per cell]
6 O 0.3333 0.6667 0.9697 [2 per cell]

(6)
Compound: Tm2HgOsO8
Source: Alexandria via LeMat-Bulk
Functional: PBE
Structure: optimized geometry

a = 6.6891 Å, b = 6.9976 Å, c = 7.1433 Å
α = 90.00°, β = 90.00°, γ = 90.00°
Space group Cmmm (No. 65)
Symmetry-distinct sites (fractional):
1 Tm 0.0000 0.0000 0.2458 [4 per cell]
2 Hg 0.0000 0.5000 0.0000 [2 per cell]
3 Os 0.0000 0.5000 0.5000 [2 per cell]
4 O 0.0000 0.3124 0.3138 [8 per cell]
5 O 0.1936 0.0000 0.0000 [4 per cell]
6 O 0.2168 0.0000 0.5000 [4 per cell]

(7)
Compound: UHgOsO6
Source: Alexandria via LeMat-Bulk
Functional: PBE
Structure: optimized geometry

a = 7.2724 Å, b = 7.9249 Å, c = 10.8275 Å
α = 90.00°, β = 90.00°, γ = 90.00°
Space group Imma (No. 74)
Symmetry-distinct sites (fractional):
1 U 0.0000 0.0000 0.0000 [4 per cell]
2 Hg 0.0000 0.2500 0.4022 [4 per cell]
3 Os 0.2500 0.2500 0.7500 [4 per cell]
4 O 0.0000 0.2500 0.0632 [4 per cell]
5 O 0.0000 0.2500 0.7051 [4 per cell]
6 O 0.1992 0.0790 0.8724 [16 per cell]

Number 1: uncorrected formation energy -1.482 eV per atom. Number 2: uncorrected formation energy -1.885 eV per atom. Number 3: uncorrected formation energy -0.616 eV per atom. Number 4: uncorrected formation energy -0.842 eV per atom. Number 5: uncorrected formation energy -0.784 eV per atom. Number 6: uncorrected formation energy -1.915 eV per atom. Number 7: uncorrected formation energy -1.707 eV per atom.